1.
Entry from Alexandria: crystalline HfMo3Pb at its relaxed geometry (PBE).

Results
The calculation puts the formation energy at 2.27 eV/atom. Its space group is Pm-3m (221).

Cell: 4.9511 4.9511 4.9511 Å, 90.00 90.00 90.00°
With the nearest neighbours (Å) after each atom.
Positions (direct):
Hf: 0.0000 0.0000 0.0000  12 Mo 3.50
Mo: 0.0000 0.5000 0.5000  2 Pb 2.48
Mo: 0.5000 0.0000 0.5000  2 Pb 2.48
Mo: 0.5000 0.5000 0.0000  2 Pb 2.48
Pb: 0.5000 0.5000 0.5000  6 Mo 2.48

---

2.
Entry from Alexandria: crystalline YCo2Au at its relaxed geometry (PBE).

Results
The calculation puts the formation energy at 0.03 eV/atom. Its space group is Pmmm (47).

Cell: 3.5204 4.3997 4.8877 Å, 90.00 90.00 90.00°
With the nearest neighbours (Å) after each atom.
Positions (direct):
Y: 0.0000 0.0000 0.0000  4 Au 3.01, 8 Co 3.03
Co: 0.5000 0.5000 0.2280  1 Co 2.23
Co: 0.5000 0.5000 0.7720  1 Co 2.23
Au: 0.5000 0.0000 0.5000  4 Co 2.57

---

3.
Entry from Alexandria: crystalline TeSICl2 at its relaxed geometry (PBE).

Results
The value obtained for the formation energy (no corrections) is 0.57 eV/atom. Its space group is P4/mmm (123).

Cell: 5.5473 5.5473 5.2029 Å, 90.00 90.00 90.00°
With the nearest neighbours (Å) after each atom.
Positions (direct):
Te: 0.0000 0.0000 0.0000  8 Cl 3.80, 4 S 3.92
S: 0.5000 0.5000 0.0000  2 I 2.60
I: 0.5000 0.5000 0.5000  2 S 2.60, 4 Cl 2.77
Cl: 0.0000 0.5000 0.5000  2 I 2.77
Cl: 0.5000 0.0000 0.5000  2 I 2.77

---

4.
Entry from Alexandria: crystalline OsC2 at its relaxed geometry (PBE).

Results
The calculation puts the formation energy at 0.82 eV/atom. Its space group is P6/mmm (191).

Cell: 2.5115 2.5115 9.0405 Å, 90.00 90.00 120.00°
With the nearest neighbours (Å) after each atom.
Positions (direct):
Os: 0.0000 0.0000 0.0000  6 Os 2.51
C: 0.3333 0.6667 0.5000  3 C 1.45
C: 0.6667 0.3333 0.5000  3 C 1.45

---

Short version: total DFT energy (no corrections) = -34.8; -23.8; -9.7; -27.2 eV/cell, in the order given.
Short version: energy above the lowest structure with this stoichiometry = 9.770; 5.422; 9.330; 5.947 kcal/mol of atoms, in the order given.